! PBE Cs5Te2Se5, optimized geometry; values from VASP
&SYSTEM
  ibrav = 0, nat = 12, ntyp = 3
/
ATOMIC_SPECIES
Se 78.96 Se.upf
Cs 132.91 Cs.upf
Te 127.60 Te.upf
ATOMIC_POSITIONS crystal
Se 0.887 0.774 0.608
Se 0.000 0.000 0.000
Se 0.451 0.901 0.201
Se 0.549 0.099 0.799
Se 0.113 0.226 0.392
Cs 0.500 0.000 0.500
Cs 0.315 0.631 0.933
Cs 0.221 0.443 0.659
Cs 0.779 0.557 0.341
Cs 0.685 0.369 0.067
Te 0.971 0.942 0.793
Te 0.029 0.058 0.207
CELL_PARAMETERS angstrom
-2.990 3.328 3.140
-3.419 -4.188 -3.575
3.713 -8.055 12.075
! **Calculated volume**: 465.87 Å³/f.u.
! **Formation energy (no corrections)**: -0.77 eV per atom
! **Size of the total moment**: 0.00 μB per formula unit
! **Symmetry**: No. 12